A plane-wave DFT calculation with GGA-PBE was carried out for HfCu2I after structural relaxation.

Unit cell a=4.7628 b=4.7628 c=4.7628 alpha=60.00 beta=60.00 gamma=60.00
With the nearest neighbours (Å) after each atom.
Positions (direct):
Hf1 0.0000 0.0000 0.0000  8 Cu 2.92
Cu1 0.2500 0.2500 0.2500  4 Hf 2.92, 4 I 2.92
Cu2 0.7500 0.7500 0.7500  4 Hf 2.92, 4 I 2.92
I1 0.5000 0.5000 0.5000  8 Cu 2.92

Properties
The value obtained for the formation energy from raw total energies is 15.23 kcal/mol of atoms. Its symmetry is Fm-3m (225). Its excess energy over the best structure of this formula in the dataset is 269.7 meV/atom.

***

A plane-wave DFT calculation with GGA-PBE was carried out for Pd3PtAu7 after structural relaxation.

Unit cell a=6.9235 b=6.9235 c=5.0465 alpha=111.26 beta=111.26 gamma=90.59
With the nearest neighbours (Å) after each atom.
Positions (direct):
Pd1 0.0000 0.0000 0.0000  8 Au 2.79-2.92
Pd2 0.2337 0.7663 0.5000  9 Au 2.62-2.89
Pd3 0.7663 0.2337 0.5000  9 Au 2.62-2.89
Pt1 0.5000 0.5000 0.0000  4 Au 2.52-2.72
Au1 0.0764 0.5873 0.8318  4 Pd 2.78-2.89, 4 Au 2.81-2.87, 1 Pt 2.88
Au2 0.1746 0.1746 0.6728  1 Pt 2.72, 4 Pd 2.72-2.92, 3 Au 2.84-2.91
Au3 0.4127 0.9236 0.1682  4 Pd 2.78-2.89, 4 Au 2.81-2.87, 1 Pt 2.88
Au4 0.5000 0.5000 0.5000  2 Pt 2.52, 2 Pd 2.62
Au5 0.5873 0.0764 0.8318  4 Pd 2.78-2.89, 4 Au 2.81-2.87, 1 Pt 2.88
Au6 0.8254 0.8254 0.3272  1 Pt 2.72, 4 Pd 2.72-2.92, 3 Au 2.84-2.91
Au7 0.9236 0.4127 0.1682  4 Pd 2.78-2.89, 4 Au 2.81-2.87, 1 Pt 2.88

Properties
Its formation energy from the elements is 171.2 meV per atom. Its symmetry is C2/m (12).

***

| no. | mass density (g/cm³) |
| --- | --- |
| 1 | 9.40 |
| 2 | 15.17 |